Record 1
Entry from the Alexandria database: crystalline MgV3O7 at its relaxed geometry (PBEsol).

Lattice parameters (Å, degrees): 5.2183 10.0247 10.0199 90.00 90.00 90.00
Each line ends with the local moment (μB).
Element x y z (fractional)
Mg: 0.8465 0.0790 0.2500  0.01
Mg: 0.3465 0.4210 0.7500  0.01
Mg: 0.1535 0.9210 0.7500  0.01
Mg: 0.6535 0.5790 0.2500  0.01
V: 0.2080 0.6831 0.9727  1.01
V: 0.7080 0.8169 0.0273  1.01
V: 0.7920 0.3169 0.4727  1.01
V: 0.2920 0.1831 0.5273  1.01
V: 0.1989 0.7847 0.2500  0.95
V: 0.6989 0.7153 0.7500  0.95
V: 0.8011 0.2153 0.7500  0.95
V: 0.3011 0.2847 0.2500  0.95
V: 0.7080 0.8169 0.4727  1.01
V: 0.2080 0.6831 0.5273  1.01
V: 0.2920 0.1831 0.9727  1.01
V: 0.7920 0.3169 0.0273  1.01
O: 0.5526 0.2874 0.8792  0.00
O: 0.0526 0.2126 0.1208  0.00
O: 0.4474 0.7126 0.3792  0.00
O: 0.9474 0.7874 0.6208  0.00
O: 0.4474 0.7126 0.1208  0.00
O: 0.9474 0.7874 0.8792  0.00
O: 0.5526 0.2874 0.6208  0.00
O: 0.0526 0.2126 0.3792  0.00
O: 0.0327 0.2850 0.8816  0.00
O: 0.5327 0.2150 0.1184  0.00
O: 0.9673 0.7150 0.3816  0.00
O: 0.4673 0.7850 0.6184  0.00
O: 0.9673 0.7150 0.1184  0.00
O: 0.4673 0.7850 0.8816  0.00
O: 0.0327 0.2850 0.6184  0.00
O: 0.5327 0.2150 0.3816  0.00
O: 0.3214 0.4471 0.2500  -0.06
O: 0.8214 0.0529 0.7500  -0.06
O: 0.6786 0.5529 0.7500  -0.06
O: 0.1786 0.9471 0.2500  -0.06
O: 0.2759 0.0345 0.5936  -0.06
O: 0.7759 0.4655 0.4064  -0.06
O: 0.7241 0.9655 0.0936  -0.06
O: 0.2241 0.5345 0.9064  -0.06
O: 0.7241 0.9655 0.4064  -0.06
O: 0.2241 0.5345 0.5936  -0.06
O: 0.2759 0.0345 0.9064  -0.06
O: 0.7759 0.4655 0.0936  -0.06

Results
Size of the total moment: 12.000 μB/cell
Crystal system: orthorhombic
Formation energy without anion corrections: -26.2 eV/f.u.
SG: Pnma


Record 2
Entry from the Alexandria database: crystalline AsPbS3 at its relaxed geometry (PBEsol).

Lattice parameters (Å, degrees): 6.7866 7.5186 9.2785 90.00 92.56 90.00
Element x y z (fractional)
Pb: 0.5378 0.8834 0.2526
Pb: 0.9622 0.3834 0.2474
Pb: 0.4622 0.1166 0.7474
Pb: 0.0378 0.6166 0.7526
As: 0.4265 0.3841 0.0731
As: 0.9265 0.1159 0.5731
As: 0.5735 0.6159 0.9269
As: 0.0735 0.8841 0.4269
S: 0.3378 0.7949 0.5457
S: 0.3448 0.8171 0.9380
S: 0.8448 0.6829 0.4380
S: 0.1622 0.2949 0.9543
S: 0.3776 0.5065 0.2795
S: 0.8776 0.9935 0.7795
S: 0.6552 0.1829 0.0620
S: 0.6622 0.2051 0.4543
S: 0.6224 0.4935 0.7205
S: 0.1552 0.3171 0.5620
S: 0.1224 0.0065 0.2205
S: 0.8378 0.7051 0.0457

Results
Size of the total moment: 0.001 μB/cell
Crystal system: monoclinic
Formation energy without anion corrections: -1.1 eV/f.u.
SG: P2_1/c


Record 3
Entry from the Alexandria database: crystalline ZrBeHg3 at its relaxed geometry (PBEsol).

Lattice parameters (Å, degrees): 4.5884 4.5884 4.5884 90.00 90.00 90.00
Element x y z (fractional)
Be: 0.0000 0.0000 0.0000
Hg: 0.0000 0.5000 0.0000
Hg: 0.0000 0.0000 0.5000
Hg: 0.5000 0.0000 0.0000
Zr: 0.5000 0.5000 0.5000

Results
Size of the total moment: 0.000 μB/cell
Crystal system: cubic
SG: Pm-3m
E_form: 5.43 kcal/mol of atoms


Record 4
Entry from the Alexandria database: crystalline As2WAu at its relaxed geometry (PBEsol).

Lattice parameters (Å, degrees): 3.1553 4.3189 5.1971 112.45 90.00 90.00
Element x y z (fractional)
As: 0.0000 0.0000 0.0000
As: 0.5000 0.0000 0.5000
Au: 0.5000 0.5000 0.0000
W: 0.0000 0.5000 0.5000

Results
Size of the total moment: 0.000 μB/cell
Crystal system: monoclinic
SG: P2/m
E_form: 8.38 kcal/mol of atoms


Record 5
Entry from the Alexandria database: crystalline LiYTl at its relaxed geometry (PBEsol).

Lattice parameters (Å, degrees): 3.5200 4.7740 4.7740 120.00 90.00 90.00
Element x y z (fractional)
Y: 0.5000 0.6667 0.3333
Tl: 0.0000 0.3333 0.6667
Li: 0.0000 0.0000 0.0000

Results
Size of the total moment: 0.003 μB/cell
Crystal system: hexagonal
SG: P-6m2
E_form: -7.89 kcal/mol of atoms


Record 6
Entry from the Alexandria database: crystalline ZrCd2Re at its relaxed geometry (PBEsol).

Lattice parameters (Å, degrees): 3.9737 3.9737 4.6035 90.00 90.00 90.00
Element x y z (fractional)
Cd: 0.0000 0.5000 0.0000
Cd: 0.5000 0.0000 0.0000
Re: 0.5000 0.5000 0.5000
Zr: 0.0000 0.0000 0.5000

Results
Size of the total moment: 0.000 μB/cell
Crystal system: tetragonal
SG: P4/mmm
E_form: 3.89 kcal/mol of atoms